(1)
DFT (GGA-PBE) results for a relaxed structure of Ru2PtPb.

Cell lengths 9.5255, 9.5255, 9.5255 Å; angles 17.66, 17.66, 17.66 degrees
Fractional positions:
Ru (0.0000, 0.0000, 0.0000)
Ru (0.2639, 0.2639, 0.2639)
Pt (0.5172, 0.5172, 0.5172)
Pb (0.7580, 0.7580, 0.7580)

Computed properties:
* symmetry: No. 160
* E_form: 447 meV/atom


(2)
DFT (GGA-PBE) results for a relaxed structure of RuPtPb2.

Cell lengths 4.8471, 4.8471, 4.8471 Å; angles 60.00, 60.00, 60.00 degrees
Fractional positions:
Ru (0.0000, 0.0000, 0.0000)
Pt (0.5000, 0.5000, 0.5000)
Pb (0.2500, 0.2500, 0.2500)
Pb (0.7500, 0.7500, 0.7500)

Computed properties:
* symmetry: No. 225
* E_form: 374 meV/atom
* ΔE to the lowest computed polymorph: 0.203 eV per atom


(3)
DFT (GGA-PBE) results for a relaxed structure of RuPtPb2.

Cell lengths 6.0513, 6.0513, 6.0513 Å; angles 142.73, 141.74, 54.48 degrees
Fractional positions:
Ru (0.0000, 0.0000, 0.0000)
Pt (0.7472, 0.2472, 0.5000)
Pb (0.1893, 0.6893, 0.5000)
Pb (0.4452, 0.4452, 0.0000)

Computed properties:
* symmetry: No. 44
* E_form: 318 meV/atom
* ΔE to the lowest computed polymorph: 0.146 eV per atom


(4)
DFT (GGA-PBE) results for a relaxed structure of Ru2PtPb.

Cell lengths 2.8968, 4.6947, 5.0852 Å; angles 90.00, 91.70, 90.00 degrees
Fractional positions:
Ru (0.2456, 0.0000, 0.2174)
Ru (0.7544, 0.0000, 0.7826)
Pt (0.5000, 0.5000, 0.0000)
Pb (0.0000, 0.5000, 0.5000)

Computed properties:
* symmetry: No. 10
* E_form: 524 meV/atom


(5)
DFT (GGA-PBE) results for a relaxed structure of RuPt2Pb.

Cell lengths 5.6843, 5.6843, 5.6843 Å; angles 149.54, 131.08, 58.73 degrees
Fractional positions:
Ru (0.0000, 0.0000, 0.0000)
Pt (0.2387, 0.7387, 0.5000)
Pt (0.7613, 0.2613, 0.5000)
Pb (0.5000, 0.5000, 0.0000)

Computed properties:
* symmetry: No. 71
* E_form: 281 meV/atom


(6)
DFT (GGA-PBE) results for a relaxed structure of RuPtPb2.

Cell lengths 4.6411, 4.6411, 5.6320 Å; angles 102.17, 102.17, 44.23 degrees
Fractional positions:
Ru (0.0000, 0.0000, 0.0000)
Pt (0.5000, 0.5000, 0.5000)
Pb (0.2516, 0.2516, 0.7561)
Pb (0.7484, 0.7484, 0.2439)

Computed properties:
* symmetry: No. 12
* E_form: 380 meV/atom
* ΔE to the lowest computed polymorph: 0.209 eV per atom


(7)
DFT (GGA-PBE) results for a relaxed structure of RuPtPb3.

Cell lengths 5.1883, 5.1883, 5.1883 Å; angles 90.00, 90.00, 90.00 degrees
Fractional positions:
Ru (0.0000, 0.0000, 0.0000)
Pt (0.5000, 0.5000, 0.5000)
Pb (0.0000, 0.0000, 0.5000)
Pb (0.0000, 0.5000, 0.0000)
Pb (0.5000, 0.0000, 0.0000)

Computed properties:
* symmetry: No. 221
* E_form: 488 meV/atom
* ΔE to the lowest computed polymorph: 0.000 eV per atom


(8)
DFT (GGA-PBE) results for a relaxed structure of RuPtPb2.

Cell lengths 3.2708, 3.2708, 8.4075 Å; angles 90.00, 90.00, 90.00 degrees
Fractional positions:
Ru (0.0000, 0.0000, 0.0000)
Pt (0.5000, 0.5000, 0.8372)
Pb (0.0000, 0.0000, 0.6114)
Pb (0.5000, 0.5000, 0.2290)

Computed properties:
* symmetry: No. 99
* E_form: 224 meV/atom
* ΔE to the lowest computed polymorph: 0.053 eV per atom


(9)
DFT (GGA-PBE) results for a relaxed structure of RuPtPb2.

Cell lengths 7.5628, 7.5628, 7.5628 Å; angles 131.90, 131.90, 70.39 degrees
Fractional positions:
Ru (0.0000, 0.0000, 0.0000)
Ru (0.7500, 0.2500, 0.5000)
Pt (0.2500, 0.7500, 0.5000)
Pt (0.5000, 0.5000, 0.0000)
Pb (0.1146, 0.6250, 0.9896)
Pb (0.3750, 0.3646, 0.4896)
Pb (0.6354, 0.1250, 0.0104)
Pb (0.8750, 0.8854, 0.5104)

Computed properties:
* symmetry: No. 122
* E_form: 693 meV/atom
* ΔE to the lowest computed polymorph: 0.522 eV per atom


(10)
DFT (GGA-PBE) results for a relaxed structure of RuPtPb.

Cell lengths 4.4398, 4.4398, 4.4398 Å; angles 60.00, 60.00, 60.00 degrees
Fractional positions:
Ru (0.0000, 0.0000, 0.0000)
Pt (0.2500, 0.2500, 0.2500)
Pb (0.7500, 0.7500, 0.7500)

Computed properties:
* symmetry: No. 216
* E_form: 390 meV/atom
* ΔE to the lowest computed polymorph: 0.000 eV per atom


(11)
DFT (GGA-PBE) results for a relaxed structure of RuPt2Pb.

Cell lengths 4.7323, 4.7323, 5.0135 Å; angles 102.24, 102.24, 40.51 degrees
Fractional positions:
Ru (0.0000, 0.0000, 0.0000)
Pt (0.4912, 0.4912, 0.4308)
Pt (0.7423, 0.7423, 0.1963)
Pb (0.2460, 0.2460, 0.7079)

Computed properties:
* symmetry: No. 8
* E_form: 213 meV/atom


(12)
DFT (GGA-PBE) results for a relaxed structure of Pt2PbS3.

Cell lengths 7.1628, 7.1628, 7.1628 Å; angles 60.20, 60.20, 60.20 degrees
Fractional positions:
Pt (0.0000, 0.0000, 0.0000)
Pt (0.0000, 0.5000, 0.5000)
Pt (0.5000, 0.0000, 0.5000)
Pt (0.5000, 0.5000, 0.0000)
Pb (0.2101, 0.2101, 0.2101)
Pb (0.7899, 0.7899, 0.7899)
S (0.2365, 0.2365, 0.7323)
S (0.2365, 0.7323, 0.2365)
S (0.2677, 0.7635, 0.7635)
S (0.7323, 0.2365, 0.2365)
S (0.7635, 0.2677, 0.7635)
S (0.7635, 0.7635, 0.2677)

Computed properties:
* symmetry: No. 166
* formation energy (no corrections): -2.11 eV per formula unit


(13)
DFT (GGA-PBE) results for a relaxed structure of PtPbS.

Cell lengths 4.2787, 4.2787, 10.8046 Å; angles 91.25, 91.25, 45.80 degrees
Fractional positions:
Pt (0.1478, 0.1478, 0.0688)
Pt (0.8522, 0.8522, 0.9312)
Pb (0.1344, 0.1344, 0.7826)
Pb (0.8656, 0.8656, 0.2174)
S (0.4451, 0.4451, 0.5807)
S (0.5549, 0.5549, 0.4193)

Computed properties:
* symmetry: No. 12
* formation energy (no corrections): 0.12 eV per formula unit


(14)
DFT (GGA-PBE) results for a relaxed structure of PtPbS.

Cell lengths 6.5287, 6.3079, 6.5759 Å; angles 90.00, 104.38, 90.00 degrees
Fractional positions:
Pt (0.2221, 0.0229, 0.2380)
Pt (0.2221, 0.4771, 0.7380)
Pt (0.7779, 0.5229, 0.2620)
Pt (0.7779, 0.9771, 0.7620)
Pb (0.3492, 0.6297, 0.1433)
Pb (0.3492, 0.8703, 0.6433)
Pb (0.6508, 0.1297, 0.3567)
Pb (0.6508, 0.3703, 0.8567)
S (0.1451, 0.1292, 0.8600)
S (0.1451, 0.3708, 0.3600)
S (0.8549, 0.6292, 0.6400)
S (0.8549, 0.8708, 0.1400)

Computed properties:
* symmetry: No. 14
* formation energy (no corrections): -0.93 eV per formula unit


(15)
DFT (GGA-PBE) results for a relaxed structure of PtPbS.

Cell lengths 5.6676, 6.9262, 7.8615 Å; angles 90.00, 110.87, 90.00 degrees
Fractional positions:
Pt (0.2262, 0.2149, 0.3801)
Pt (0.2262, 0.2851, 0.8801)
Pt (0.7738, 0.7149, 0.1199)
Pt (0.7738, 0.7851, 0.6199)
Pb (0.1945, 0.7006, 0.9681)
Pb (0.1945, 0.7994, 0.4681)
Pb (0.8055, 0.2006, 0.5319)
Pb (0.8055, 0.2994, 0.0319)
S (0.3179, 0.0981, 0.1368)
S (0.3179, 0.4019, 0.6368)
S (0.6821, 0.5981, 0.3632)
S (0.6821, 0.9019, 0.8632)

Computed properties:
* symmetry: No. 14
* formation energy (no corrections): -0.81 eV per formula unit


(16)
DFT (GGA-PBE) results for a relaxed structure of Pt2PbS.

Cell lengths 7.9312, 7.9312, 7.9312 Å; angles 142.30, 142.30, 54.38 degrees
Fractional positions:
Pt (0.0038, 0.6250, 0.8788)
Pt (0.3750, 0.2538, 0.3788)
Pt (0.7462, 0.1250, 0.1212)
Pt (0.8750, 0.9962, 0.6212)
Pb (0.2500, 0.7500, 0.5000)
Pb (0.5000, 0.5000, 0.0000)
S (0.0000, 0.0000, 0.0000)
S (0.7500, 0.2500, 0.5000)

Computed properties:
* symmetry: No. 122
* formation energy (no corrections): -0.92 eV per formula unit


(17)
DFT (GGA-PBE) results for a relaxed structure of Pt3PbS.

Cell lengths 4.6318, 4.6318, 4.6318 Å; angles 90.00, 90.00, 90.00 degrees
Fractional positions:
Pt (0.0000, 0.0000, 0.5000)
Pt (0.0000, 0.5000, 0.0000)
Pt (0.5000, 0.0000, 0.0000)
Pb (0.5000, 0.5000, 0.5000)
S (0.0000, 0.0000, 0.0000)

Computed properties:
* symmetry: No. 221
* ΔE to the lowest computed polymorph: 0.000 eV per atom
* formation energy (no corrections): 0.57 eV per formula unit


(18)
DFT (GGA-PBE) results for a relaxed structure of PtPbS2.

Cell lengths 7.7207, 7.7207, 7.7207 Å; angles 31.87, 31.87, 31.87 degrees
Fractional positions:
Pt (0.0000, 0.0000, 0.0000)
Pb (0.5000, 0.5000, 0.5000)
S (0.0997, 0.0997, 0.0997)
S (0.9003, 0.9003, 0.9003)

Computed properties:
* symmetry: No. 166
* formation energy (no corrections): 0.25 eV per formula unit


(19)
DFT (GGA-PBE) results for a relaxed structure of PtPbS3.

Cell lengths 4.7855, 4.7855, 4.7855 Å; angles 90.00, 90.00, 90.00 degrees
Fractional positions:
Pt (0.0000, 0.0000, 0.0000)
Pb (0.5000, 0.5000, 0.5000)
S (0.0000, 0.0000, 0.5000)
S (0.0000, 0.5000, 0.0000)
S (0.5000, 0.0000, 0.0000)

Computed properties:
* symmetry: No. 221
* ΔE to the lowest computed polymorph: 0.000 eV per atom
* formation energy (no corrections): 0.59 eV per formula unit


(20)
DFT (GGA-PBE) results for a relaxed structure of PtPbS2.

Cell lengths 7.8091, 7.8091, 7.8091 Å; angles 26.91, 26.91, 26.91 degrees
Fractional positions:
Pt (0.0000, 0.0000, 0.0000)
Pb (0.8320, 0.8320, 0.8320)
S (0.3905, 0.3905, 0.3905)
S (0.6124, 0.6124, 0.6124)

Computed properties:
* symmetry: No. 160
* formation energy (no corrections): -0.87 eV per formula unit


(21)
DFT (GGA-PBE) results for a relaxed structure of PtPbS2.

Cell lengths 8.7188, 8.7188, 8.7188 Å; angles 23.78, 23.78, 23.78 degrees
Fractional positions:
Pt (0.0000, 0.0000, 0.0000)
Pb (0.5000, 0.5000, 0.5000)
S (0.3824, 0.3824, 0.3824)
S (0.6176, 0.6176, 0.6176)

Computed properties:
* symmetry: No. 166
* formation energy (no corrections): -0.97 eV per formula unit


(22)
DFT (GGA-PBE) results for a relaxed structure of PtPb2S.

Cell lengths 7.6790, 7.6790, 7.6790 Å; angles 129.95, 129.95, 73.48 degrees
Fractional positions:
Pt (0.0000, 0.0000, 0.0000)
Pt (0.7500, 0.2500, 0.5000)
Pb (0.1093, 0.6250, 0.9843)
Pb (0.3750, 0.3593, 0.4843)
Pb (0.6407, 0.1250, 0.0157)
Pb (0.8750, 0.8907, 0.5157)
S (0.2500, 0.7500, 0.5000)
S (0.5000, 0.5000, 0.0000)

Computed properties:
* symmetry: No. 122
* formation energy (no corrections): -0.35 eV per formula unit


(23)
DFT (GGA-PBE) results for a relaxed structure of PtPbS2.

Cell lengths 7.3719, 7.3719, 7.3719 Å; angles 133.19, 133.19, 68.36 degrees
Fractional positions:
Pt (0.0000, 0.0000, 0.0000)
Pt (0.7500, 0.2500, 0.5000)
Pb (0.2500, 0.7500, 0.5000)
Pb (0.5000, 0.5000, 0.0000)
S (0.0515, 0.6250, 0.9265)
S (0.3750, 0.3015, 0.4265)
S (0.6985, 0.1250, 0.0735)
S (0.8750, 0.9485, 0.5735)

Computed properties:
* symmetry: No. 122
* formation energy (no corrections): -0.45 eV per formula unit


(24)
DFT (GGA-PBE) results for a relaxed structure of Pt3PbS.

Cell lengths 5.0722, 5.0722, 5.0722 Å; angles 90.00, 90.00, 90.00 degrees
Fractional positions:
Pt (0.0000, 0.0000, 0.5000)
Pt (0.0000, 0.5000, 0.0000)
Pt (0.5000, 0.0000, 0.0000)
Pb (0.0000, 0.0000, 0.0000)
S (0.5000, 0.5000, 0.5000)

Computed properties:
* symmetry: No. 221
* ΔE to the lowest computed polymorph: 1.431 eV per atom
* formation energy (no corrections): 7.73 eV per formula unit


(25)
DFT (GGA-PBE) results for a relaxed structure of PtPbS.

Cell lengths 4.1883, 4.1883, 4.2402 Å; angles 90.00, 90.00, 120.00 degrees
Fractional positions:
Pt (0.0000, 0.0000, 0.0000)
Pb (0.3333, 0.6667, 0.5372)
S (0.6667, 0.3333, 0.0318)

Computed properties:
* symmetry: No. 156
* formation energy (no corrections): -0.75 eV per formula unit


(26)
DFT (GGA-PBE) results for a relaxed structure of Sc2PtPbS.

Cell lengths 5.4722, 5.4722, 4.9221 Å; angles 90.00, 90.00, 90.00 degrees
Fractional positions:
Sc (0.0000, 0.5000, 0.0000)
Sc (0.5000, 0.0000, 0.0000)
Pt (0.0000, 0.0000, 0.5000)
Pb (0.0000, 0.0000, 0.0000)
S (0.5000, 0.5000, 0.5000)

Computed properties:
* symmetry: No. 123
* formation energy (no corrections): 2.49 eV per formula unit


(27)
DFT (GGA-PBE) results for a relaxed structure of TcPtPb2S.

Cell lengths 5.3974, 5.3974, 4.3156 Å; angles 90.00, 90.00, 90.00 degrees
Fractional positions:
Tc (0.0000, 0.0000, 0.0000)
Pt (0.5000, 0.5000, 0.5000)
Pb (0.0000, 0.5000, 0.0000)
Pb (0.5000, 0.0000, 0.0000)
S (0.0000, 0.0000, 0.5000)

Computed properties:
* symmetry: No. 123
* formation energy (no corrections): 2.18 eV per formula unit


(28)
DFT (GGA-PBE) results for a relaxed structure of PtPbW2S.

Cell lengths 4.5528, 4.5528, 4.5847 Å; angles 90.00, 90.00, 90.00 degrees
Fractional positions:
Pt (0.0000, 0.0000, 0.0000)
Pb (0.5000, 0.5000, 0.0000)
W (0.0000, 0.5000, 0.5000)
W (0.5000, 0.0000, 0.5000)
S (0.0000, 0.0000, 0.5000)

Computed properties:
* symmetry: No. 123
* formation energy (no corrections): 4.54 eV per formula unit


Values of final energy, in order: -26.5 -21.2 -21.5 -26.2 -23.9 -21.2 -24.0 -21.8 -39.9 -17.9 -24.2 -60.6 -27.5 -59.2 -58.7 -41.7 -25.4 -17.8 -21.5 -18.9 -19.0 -35.9 -36.9 -18.2 -14.6 -24.0 -25.8 -35.2, all in eV/cell.
Values of spin magnetization, in order: 0.00 1.13 0.00 0.00 0.00 0.00 0.00 0.00 0.00 0.00 0.00 0.00 0.00 0.00 0.00 0.00 0.00 0.00 0.01 0.00 0.00 0.00 0.00 0.00 0.00 0.00 0.00 0.00, all in μB/f.u..